Entry 1:
! Ba3GeS5 SCAN PBEsol geometry; values from VASP
&SYSTEM
  ibrav = 0, nat = 36, ntyp = 3
/
ATOMIC_SPECIES
S 32.06 S.upf
Ba 137.33 Ba.upf
Ge 72.64 Ge.upf
CELL_PARAMETERS angstrom
8.563 0.000 0.000
0.000 9.540 0.000
0.000 0.000 11.895
ATOMIC_POSITIONS angstrom
S 1.530 4.207 0.643
S 2.980 2.385 3.364
S 5.850 2.385 8.757
S 0.182 7.155 5.955
S 5.812 5.333 5.305
S 6.994 2.385 2.809
S 2.751 4.207 6.591
S 5.583 7.155 8.531
S 7.261 7.155 2.584
S 1.530 0.563 0.643
S 1.302 2.385 9.312
S 7.033 8.977 11.252
S 2.751 0.563 6.591
S 7.033 5.333 11.252
S 8.381 2.385 5.941
S 4.099 7.155 0.007
S 4.464 2.385 11.888
S 5.812 8.977 5.305
S 1.569 7.155 9.086
S 2.713 7.155 3.138
Ba 3.312 7.155 6.180
Ba 7.593 2.385 11.663
Ba 5.251 2.385 5.715
Ba 0.651 0.169 3.776
Ba 0.970 7.155 0.233
Ba 4.933 9.371 2.171
Ba 3.630 4.601 9.724
Ba 7.912 4.939 8.119
Ba 7.912 9.371 8.119
Ba 3.630 0.169 9.724
Ba 4.933 4.939 2.171
Ba 0.651 4.601 3.776
Ge 5.947 7.155 10.720
Ge 1.665 2.385 7.123
Ge 6.898 7.155 4.772
Ge 2.616 2.385 1.175
! energy relative to the elements, uncorrected	-1.826	eV per atom
! electronic total energy	-22.480	eV/atom

Entry 2:
! BaGe2S5 SCAN PBEsol geometry; values from VASP
&SYSTEM
  ibrav = 0, nat = 32, ntyp = 3
/
ATOMIC_SPECIES
S 32.06 S.upf
Ge 72.64 Ge.upf
Ba 137.33 Ba.upf
CELL_PARAMETERS angstrom
-1.550 3.575 9.792
-9.291 -1.491 4.745
-0.790 -6.787 8.024
ATOMIC_POSITIONS angstrom
S -4.128 -0.874 3.345
S -6.610 -3.423 17.217
S -8.583 -6.197 12.246
S -9.425 -1.670 16.131
S -1.143 -2.733 4.497
S -3.561 -2.910 15.521
S -3.048 1.494 10.315
S -4.673 0.382 6.784
S -9.686 -3.917 18.788
S -1.687 -1.478 7.935
S -4.853 -1.962 9.413
S -8.071 -1.793 7.040
S -1.410 0.905 5.118
S -9.076 0.526 13.393
S -9.173 -5.100 15.546
S -2.555 -5.229 9.168
S -4.406 -3.257 6.163
S -5.366 -0.779 12.655
S -5.114 -4.209 12.070
S -7.929 -2.456 10.984
Ge -4.912 0.809 14.042
Ge -4.477 -3.317 17.516
Ge -9.627 -6.688 14.159
Ge -3.881 -1.569 7.528
Ge -4.407 -6.084 12.866
Ge -10.658 -4.310 20.673
Ge -10.132 0.205 15.335
Ge -10.062 -2.562 10.685
Ba -6.495 -4.727 9.204
Ba -6.875 0.454 10.089
Ba -2.624 -2.194 11.728
Ba -7.270 -2.939 14.101
! energy relative to the elements, uncorrected	-0.961	eV per atom
! electronic total energy	-16.695	eV/atom

Entry 3:
! Ba2GeSb4S10 SCAN PBEsol geometry; values from VASP
&SYSTEM
  ibrav = 0, nat = 68, ntyp = 4
/
ATOMIC_SPECIES
Ge 72.64 Ge.upf
S 32.06 S.upf
Sb 121.76 Sb.upf
Ba 137.33 Ba.upf
CELL_PARAMETERS angstrom
11.278 0.000 0.000
0.000 11.278 0.000
0.000 0.000 13.428
ATOMIC_POSITIONS angstrom
Ge 5.639 5.639 10.071
Ge 5.639 5.639 3.357
Ge 0.000 0.000 10.071
Ge 0.000 0.000 3.357
S 7.679 0.251 4.900
S 11.080 9.538 4.721
S 8.370 8.695 6.714
S 0.198 1.740 4.721
S 5.441 7.379 8.707
S 2.040 5.388 8.528
S 8.695 2.908 0.000
S 9.538 0.198 11.435
S 8.547 3.056 6.714
S 3.899 5.441 1.993
S 5.837 3.899 4.721
S 2.583 8.370 0.000
S 3.599 11.027 8.528
S 5.388 9.238 11.614
S 5.890 2.040 11.614
S 7.379 5.837 11.435
S 2.040 5.388 4.900
S 0.251 3.599 1.814
S 8.222 8.547 0.000
S 5.890 2.040 1.814
S 1.740 11.080 1.993
S 7.679 0.251 8.528
S 0.251 3.599 11.614
S 3.056 2.731 0.000
S 2.908 2.583 6.714
S 5.388 9.238 1.814
S 2.731 8.222 6.714
S 9.238 5.890 4.900
S 9.538 0.198 1.993
S 11.027 7.679 11.614
S 0.198 1.740 8.707
S 11.027 7.679 1.814
S 9.238 5.890 8.528
S 3.899 5.441 11.435
S 1.740 11.080 11.435
S 5.837 3.899 8.707
S 5.441 7.379 4.721
S 7.379 5.837 1.993
S 3.599 11.027 4.900
S 11.080 9.538 8.707
Sb 5.258 3.893 0.000
Sb 1.518 4.690 0.000
Sb 9.760 6.588 0.000
Sb 9.532 10.897 6.714
Sb 0.381 9.532 0.000
Sb 6.588 1.518 6.714
Sb 0.949 4.121 6.714
Sb 3.893 6.020 6.714
Sb 10.897 1.746 0.000
Sb 1.746 0.381 6.714
Sb 7.157 0.949 0.000
Sb 4.690 9.760 6.714
Sb 4.121 10.329 0.000
Sb 7.385 5.258 6.714
Sb 10.329 7.157 6.714
Sb 6.020 7.385 0.000
Ba 8.272 8.645 3.357
Ba 8.272 8.645 10.071
Ba 8.645 3.006 3.357
Ba 2.633 8.272 10.071
Ba 2.633 8.272 3.357
Ba 3.006 2.633 3.357
Ba 3.006 2.633 10.071
Ba 8.645 3.006 10.071
! energy relative to the elements, uncorrected	-0.847	eV per atom
! electronic total energy	-21.053	eV/atom

Entry 4:
! Ba2Ge2Se5 SCAN PBEsol geometry; values from VASP
&SYSTEM
  ibrav = 0, nat = 36, ntyp = 3
/
ATOMIC_SPECIES
Ge 72.64 Ge.upf
Se 78.96 Se.upf
Ba 137.33 Ba.upf
CELL_PARAMETERS angstrom
-8.424 -2.604 -2.009
0.366 -6.279 6.607
-4.515 8.316 8.153
ATOMIC_POSITIONS angstrom
Ge -5.885 1.724 12.269
Ge -6.688 -2.291 0.483
Ge -6.271 -5.000 2.248
Ge -8.366 -3.628 9.255
Ge -3.678 -1.578 7.291
Ge -4.207 3.061 3.496
Ge -8.895 1.011 5.461
Ge -6.302 4.433 10.504
Se -2.024 -1.612 9.005
Se -9.698 2.104 7.410
Se -6.988 2.146 4.595
Se -5.585 -2.713 8.156
Se -9.236 -1.519 10.171
Se -8.234 -4.090 0.697
Se -3.337 0.953 2.581
Se -7.075 -4.025 4.355
Se -4.339 3.523 12.054
Se -5.498 3.458 8.396
Se -4.227 0.629 6.733
Se -8.346 -1.195 6.018
Se -7.899 2.422 11.205
Se -2.875 -2.671 5.341
Se -2.129 -0.784 -0.232
Se -4.674 -2.989 1.546
Se -10.549 1.045 3.746
Se -10.444 0.218 12.984
Se -5.032 -0.233 11.228
Se -7.541 -0.333 1.523
Ba -12.053 3.480 5.511
Ba -7.918 4.758 6.497
Ba -9.702 -2.285 3.125
Ba -0.520 -4.047 7.240
Ba -4.655 -5.325 6.254
Ba -7.006 0.440 8.640
Ba -2.871 1.718 9.626
Ba -5.567 -1.006 4.111
! energy relative to the elements, uncorrected	-1.257	eV per atom
! electronic total energy	-25.442	eV/atom

Entry 5:
! Ba2GeSe4 SCAN PBEsol geometry; values from VASP
&SYSTEM
  ibrav = 0, nat = 14, ntyp = 3
/
ATOMIC_SPECIES
Se 78.96 Se.upf
Ge 72.64 Ge.upf
Ba 137.33 Ba.upf
CELL_PARAMETERS angstrom
7.020 0.000 0.000
0.000 6.978 -0.061
0.000 -2.918 8.666
ATOMIC_POSITIONS angstrom
Se 1.755 3.128 3.767
Se 3.601 -2.156 6.701
Se 6.929 -2.156 6.701
Se 5.265 0.932 4.837
Se 0.091 6.216 1.904
Se 1.755 1.568 7.510
Se 5.265 2.492 1.094
Se 3.419 6.216 1.904
Ge 5.265 0.589 2.492
Ge 1.755 3.471 6.112
Ba 5.265 4.150 3.871
Ba 1.755 1.748 0.640
Ba 5.265 2.311 7.965
Ba 1.755 -0.090 4.733
! energy relative to the elements, uncorrected	-1.539	eV per atom
! electronic total energy	-27.039	eV/atom

Entry 6:
! BaSiGe SCAN PBEsol geometry; values from VASP
&SYSTEM
  ibrav = 0, nat = 12, ntyp = 3
/
ATOMIC_SPECIES
Ba 137.33 Ba.upf
Si 28.09 Si.upf
Ge 72.64 Ge.upf
CELL_PARAMETERS angstrom
-1.575 5.687 -3.352
-6.162 -0.030 2.844
2.368 3.704 5.170
ATOMIC_POSITIONS angstrom
Ba -4.366 6.313 0.787
Ba -4.466 4.414 4.483
Ba -0.690 1.203 0.599
Ba -1.215 6.791 3.455
Si -2.273 3.963 1.974
Si -1.487 3.839 6.157
Si -6.416 3.536 1.089
Si -0.561 7.384 0.104
Ge -4.449 7.758 3.864
Ge -4.248 2.484 1.692
Ge -0.706 3.450 3.831
Ge -1.333 5.030 -0.063
! energy relative to the elements, uncorrected	-0.436	eV per atom
! electronic total energy	-23.321	eV/atom